Entry 1:
The following is a PBE calculation of a relaxed BaNiAu2Se4 crystal, from OQMD.

Cell: 6.939 7.161 8.277 Å, 90.00 90.00 90.00°
Space group I222 (No. 23)
Unique sites:
Ba  0.000  0.000  0.000 [2 per cell]
Ni  0.000  0.000  0.500 [2 per cell]
Au  0.000  0.500  0.188 [4 per cell]
Se  0.191  0.189  0.338 [8 per cell]

Summary:
The value obtained for the total magnetization is 0.221 μB per atom. The calculation puts the mass density at 7.3 g/cm3. For the raw total energy, the calculation gives -4.01 eV per atom.

Entry 2:
The following is a PBE calculation of a relaxed Er3Si2Ag3Ge crystal, from OQMD.

Cell: 7.0388 7.0388 4.2026 Å, 90.00 90.00 120.00°
Space group P-62m (No. 189)
Unique sites:
Er  0.0000  0.4188  0.0000 [3 per cell]
Si  0.3333  0.6667  0.5000 [2 per cell]
Ag  0.0000  0.7428  0.5000 [3 per cell]
Ge  0.0000  0.0000  0.0000 [1 per cell]

Summary:
The value obtained for the total magnetization is 0.000 μB per atom. The calculation puts the mass density at 8.8 g/cm3. For the raw total energy, the calculation gives -4.80 eV per atom.

Question: Which formula does entry 1 have?
Answer: BaNiAu2Se4

Question: Among the records above, which one has the highest mass density?
Answer: Er3Si2Ag3Ge

Question: Which of these has the highest raw total energy?
Answer: BaNiAu2Se4